Computed, not measured: a PBEsol-optimized structure of LiLaCu2 at the meta-GGA SCAN level of DFT.

Unit cell a=5.373 b=5.373 c=5.373 alpha=46.86 beta=46.86 gamma=46.86
Sites, in units of the cell vectors:
Li 0.000 0.000 0.000
La 0.500 0.500 0.500
Cu 0.299 0.299 0.299
Cu 0.701 0.701 0.701

Values from the calculation:
- Total magnetization: 0.0 μB/cell
- Total DFT energy (no corrections): -76.4 eV per cell
- E_form: -125 meV/atom